This record from Alexandria describes crystalline LiTa2Al at its relaxed geometry. The functional is PBE.

Cell: 5.421 5.421 2.819 Å, 98.88 98.88 121.09°
Fractional positions:
Li 0.000 0.000 0.000
Ta 0.000 0.500 0.500
Ta 0.500 0.000 0.500
Al 0.500 0.500 0.000

Summary:
distance to the lowest polymorph of the same formula = 100 meV per atom
crystal system = monoclinic

---

This record from Alexandria describes crystalline BaVCd2 at its relaxed geometry. The functional is PBE.

Cell: 10.658 10.658 10.658 Å, 151.13 151.13 41.28°
Fractional positions:
Ba 0.000 0.000 0.000
Ba 0.750 0.250 0.500
V 0.250 0.750 0.500
V 0.500 0.500 0.000
Cd 0.311 0.625 0.186
Cd 0.375 0.561 0.686
Cd 0.439 0.125 0.814
Cd 0.875 0.689 0.314

Summary:
distance to the lowest polymorph of the same formula = 89 meV per atom
crystal system = tetragonal

---

This record from Alexandria describes crystalline K2Co2Re at its relaxed geometry. The functional is PBE.

Cell: 8.657 8.657 2.591 Å, 90.00 90.00 90.00°
Fractional positions:
K 0.116 0.384 0.000
K 0.384 0.884 0.000
K 0.616 0.116 0.000
K 0.884 0.616 0.000
Co 0.193 0.693 0.500
Co 0.307 0.193 0.500
Co 0.693 0.807 0.500
Co 0.807 0.307 0.500
Re 0.000 0.000 0.000
Re 0.500 0.500 0.000

Summary:
distance to the lowest polymorph of the same formula = 0 meV per atom
crystal system = tetragonal

---

This record from Alexandria describes crystalline ZnGaAg2Ir at its relaxed geometry. The functional is PBE.

Cell: 4.688 4.688 4.509 Å, 90.00 90.00 90.00°
Fractional positions:
Zn 0.000 0.000 0.000
Ga 0.000 0.000 0.500
Ag 0.000 0.500 0.000
Ag 0.500 0.000 0.000
Ir 0.500 0.500 0.500

Summary:
crystal system = tetragonal

---

What are the final energy values for these records? In order: -28.8; -22.3; -39.3; -13.7 eV per cell.
What are the magnetic moment values for these records? In order: 0.00; 8.15; 8.03; 0.00 Bohr magnetons per cell.
What are the calculated density values for these records? In order: 9.8; 4.9; 6.5; 9.1 Mg/m³.